! YRe4B4 (PBE, optimized geometry); values from VASP
! Symmetry ... P4_2/nmc
! ΔE_f ... -193 meV/atom
&SYSTEM
  ibrav = 0, nat = 18, ntyp = 3
/
ATOMIC_SPECIES
Y 88.91 Y.upf
Re 186.21 Re.upf
B 10.81 B.upf
CELL_PARAMETERS angstrom
-5.2960 0.0188 -0.8153
0.3744 -4.7032 -2.5403
-1.0452 -3.7041 6.7038
ATOMIC_POSITIONS angstrom
Y 0.0000 0.0000 0.0000
Y -2.9834 -4.1942 1.6741
Re -2.0377 -5.5288 4.2844
Re -4.6797 -5.5195 3.8776
Re -0.0943 -4.8599 0.5002
Re -0.2819 -2.5030 1.7733
Re -1.9909 -2.3695 4.0936
Re -4.6450 -2.3601 3.6850
Re -2.5148 -4.0375 -1.3664
Re -2.7015 -1.6912 -0.0992
B -4.3644 -2.8581 -1.0032
B -0.8519 -2.8706 -0.4624
B -0.5458 -3.9338 3.4545
B -0.4197 -5.5178 2.5990
B -3.9151 -1.3173 1.8619
B -2.1315 -1.3237 2.1365
B -3.4828 -3.9645 4.9234
B -3.2345 -7.0838 3.2386

! TeIOF2 (PBE, optimized geometry); values from VASP
! Energy relative to the elements, uncorrected ... -171 meV per atom
! Symmetry ... P4/mmm
&SYSTEM
  ibrav = 0, nat = 5, ntyp = 4
/
ATOMIC_SPECIES
I 126.90 I.upf
Te 127.60 Te.upf
O 16.00 O.upf
F 19.00 F.upf
CELL_PARAMETERS angstrom
-0.8636 -2.7813 4.0698
4.6055 -1.9283 -0.3405
1.4176 2.9737 2.3331
ATOMIC_POSITIONS angstrom
I 0.0000 0.0000 0.0000
Te 2.5797 -0.8680 3.0311
O 0.7088 1.4868 1.1665
F 2.3027 -0.9641 -0.1703
F -0.4318 -1.3907 2.0349

Number 1: DOS at the Fermi energy 9.941 states/eV per cell, total DFT energy (no corrections) -169.410 eV per cell. Number 2: DOS at the Fermi energy 2.859 states/eV per cell, total DFT energy (no corrections) -14.248 eV per cell.